Record 1
Density functional theory data (GGA-PBE) for crystalline In2Sb2Se7 at its relaxed geometry.

a = 7.108 Å, b = 7.368 Å, c = 7.368 Å
α = 109.90°, β = 101.63°, γ = 101.63°
Positions (direct):
In1 0.359 0.259 0.259
In2 0.641 0.741 0.741
Sb1 0.000 0.312 0.688
Sb2 0.000 0.688 0.312
Se1 0.735 0.895 0.499
Se2 0.265 0.501 0.105
Se3 0.265 0.105 0.501
Se4 0.735 0.499 0.895
Se5 0.500 0.000 0.000
Se6 0.232 0.682 0.682
Se7 0.768 0.318 0.318

* spin magnetization: 0.00 μB per cell
* electronic total energy: -40.14 eV per cell
* raw formation energy: -184.0 meV per atom

Record 2
Density functional theory data (GGA-PBE) for crystalline In3SbSe at its relaxed geometry.

a = 5.739 Å, b = 5.739 Å, c = 5.739 Å
α = 90.00°, β = 90.00°, γ = 90.00°
Positions (direct):
Sb1 0.000 0.000 0.000
Se1 0.500 0.500 0.500
In1 0.000 0.500 0.000
In2 0.000 0.000 0.500
In3 0.500 0.000 0.000

* spin magnetization: 0.00 μB per cell
* electronic total energy: -14.03 eV per cell
* raw formation energy: 358.9 meV per atom
* energy above the lowest structure with this stoichiometry: 353 meV/atom

Record 3
Density functional theory data (GGA-PBE) for crystalline InSb2Se2 at its relaxed geometry.

a = 8.819 Å, b = 8.819 Å, c = 3.801 Å
α = 90.00°, β = 90.00°, γ = 90.00°
Positions (direct):
Sb1 0.206 0.706 0.500
Sb2 0.706 0.794 0.500
Sb3 0.794 0.294 0.500
Sb4 0.294 0.206 0.500
Se1 0.356 0.856 0.000
Se2 0.856 0.644 0.000
Se3 0.644 0.144 0.000
Se4 0.144 0.356 0.000
In1 0.000 0.000 0.000
In2 0.500 0.500 0.000

* spin magnetization: 0.00 μB per cell
* electronic total energy: -35.67 eV per cell
* raw formation energy: 23.5 meV per atom
* energy above the lowest structure with this stoichiometry: 71 meV/atom

Record 4
Density functional theory data (GGA-PBE) for crystalline InSnSbSe at its relaxed geometry.

a = 4.950 Å, b = 4.950 Å, c = 6.886 Å
α = 90.01°, β = 111.05°, γ = 120.00°
Positions (direct):
In1 0.210 0.989 0.199
Sn1 0.152 0.460 0.613
Sb1 0.467 0.617 0.085
Se1 0.499 0.134 0.633

* spin magnetization: 0.00 μB per cell
* electronic total energy: -15.14 eV per cell
* raw formation energy: -197.2 meV per atom

Record 5
Density functional theory data (GGA-PBE) for crystalline SrIn2SbSe6 at its relaxed geometry.

a = 8.081 Å, b = 9.333 Å, c = 9.333 Å
α = 78.90°, β = 72.28°, γ = 72.28°
Positions (direct):
Sr1 0.250 0.845 0.155
Sr2 0.750 0.155 0.845
In1 0.298 0.774 0.619
In2 0.202 0.381 0.226
In3 0.702 0.226 0.381
In4 0.798 0.619 0.774
Sb1 0.250 0.221 0.779
Sb2 0.750 0.779 0.221
Se1 0.150 0.968 0.830
Se2 0.350 0.170 0.032
Se3 0.850 0.032 0.170
Se4 0.650 0.830 0.968
Se5 0.405 0.940 0.370
Se6 0.095 0.630 0.060
Se7 0.595 0.060 0.630
Se8 0.905 0.370 0.940
Se9 0.028 0.724 0.546
Se10 0.472 0.454 0.276
Se11 0.972 0.276 0.454
Se12 0.528 0.546 0.724

* spin magnetization: 0.00 μB per cell
* electronic total energy: -76.79 eV per cell
* raw formation energy: -620.6 meV per atom

Record 6
Density functional theory data (GGA-PBE) for crystalline Sr2InSbSe5 at its relaxed geometry.

a = 4.234 Å, b = 9.622 Å, c = 12.984 Å
α = 90.00°, β = 90.00°, γ = 102.71°
Positions (direct):
Sr1 0.872 0.744 0.810
Sr2 0.111 0.223 0.681
Sr3 0.128 0.256 0.310
Sr4 0.889 0.777 0.181
In1 0.560 0.121 0.945
In2 0.440 0.879 0.445
Sb1 0.782 0.564 0.522
Sb2 0.218 0.436 0.022
Se1 0.359 0.718 0.999
Se2 0.691 0.382 0.861
Se3 0.496 0.991 0.771
Se4 0.279 0.559 0.671
Se5 0.954 0.907 0.564
Se6 0.641 0.282 0.499
Se7 0.309 0.618 0.361
Se8 0.504 0.009 0.271
Se9 0.721 0.441 0.171
Se10 0.046 0.093 0.064

* spin magnetization: 0.00 μB per cell
* electronic total energy: -75.85 eV per cell
* raw formation energy: -1141.8 meV per atom

Among the records above, which one has the highest raw formation energy?
In3SbSe

Copy entry 1 word for word.
Density functional theory data (GGA-PBE) for crystalline In2Sb2Se7 at its relaxed geometry.

a = 7.108 Å, b = 7.368 Å, c = 7.368 Å
α = 109.90°, β = 101.63°, γ = 101.63°
Positions (direct):
In1 0.359 0.259 0.259
In2 0.641 0.741 0.741
Sb1 0.000 0.312 0.688
Sb2 0.000 0.688 0.312
Se1 0.735 0.895 0.499
Se2 0.265 0.501 0.105
Se3 0.265 0.105 0.501
Se4 0.735 0.499 0.895
Se5 0.500 0.000 0.000
Se6 0.232 0.682 0.682
Se7 0.768 0.318 0.318

* spin magnetization: 0.00 μB per cell
* electronic total energy: -40.14 eV per cell
* raw formation energy: -184.0 meV per atom